TiMn2VRu | GGA-PBE | optimized geometry

abc: 4.394 4.394 4.440
angles: 90.00 90.00 90.00
Fractional positions:
Ti  0.000  0.000  0.000
Mn  0.000  0.500  0.500
Mn  0.500  0.000  0.500
V  0.500  0.500  0.000
Ru  0.500  0.500  0.500

Results
Space-group type ... No. 123
Magnetization ... 1.4 μB per cell
DOS at the Fermi energy ... 1.493 states/eV/atom
Formation energy from the elements ... 1.204 eV per atom